First-principles (PBE) data for Sb after structural relaxation, as listed in the Alexandria database.

Output
Energy relative to the elements, uncorrected ... 0.1 eV per formula unit
Space group ... No. 141
ΔE to the lowest computed polymorph ... 117.0 meV/atom
Density ... 6.86 Mg/m³

Structure (extended XYZ):
```
4
Lattice="6.0789 0.0000 0.0000 0.0000 6.0789 0.0000 0.0000 0.0000 3.1901" Properties=species:S:1:pos:R:3 pbc="T T T"
Sb 0.0000 1.5197 1.1963
Sb 0.0000 4.5592 1.9938
Sb 3.0394 1.5197 0.3988
Sb 3.0394 4.5592 2.7913
```